The following is a DFT calculation (GGA-PBE) of a geometry-optimized BeCo2Br structure.

Cell lengths 2.926, 3.394, 11.282 Å; angles 90.00, 90.00, 90.00 degrees
Space group Imm2 (No. 44)
Inequivalent atoms, fractional coordinates:
Be 0.000 0.000 0.000 x2
Co 0.000 0.000 0.547 x2
Co 0.000 0.500 0.877 x2
Br 0.000 0.500 0.236 x2

Output
Electronic total energy in eV per atom: -4.47
DOS at the Fermi energy in states/eV per atom: 1.4117

=====

The following is a DFT calculation (GGA-PBE) of a geometry-optimized Na3Sm2NpTe6 structure.

Cell lengths 7.815, 13.499, 7.981 Å; angles 90.00, 108.94, 90.00 degrees
Space group C2/m (No. 12)
Inequivalent atoms, fractional coordinates:
Na 0.000 0.000 0.000 x2
Na 0.000 0.332 0.000 x4
Sm 0.000 0.166 0.500 x4
Np 0.000 0.500 0.500 x2
Te 0.245 0.334 0.736 x8
Te 0.246 0.000 0.737 x4

Output
Electronic total energy in eV per atom: -4.91
DOS at the Fermi energy in states/eV per atom: 0.4349

=====

The following is a DFT calculation (GGA-PBE) of a geometry-optimized Tb4NdTe5 structure.

Cell lengths 14.602, 4.394, 10.776 Å; angles 90.00, 119.61, 90.00 degrees
Space group C2/m (No. 12)
Inequivalent atoms, fractional coordinates:
Tb 0.098 0.000 0.395 x4
Tb 0.205 0.500 0.799 x4
Nd 0.000 0.500 0.000 x2
Te 0.000 0.500 0.500 x2
Te 0.105 0.000 0.897 x4
Te 0.203 0.500 0.307 x4

Output
Electronic total energy in eV per atom: -5.23
DOS at the Fermi energy in states/eV per atom: 0.5249

=====

The following is a DFT calculation (GGA-PBE) of a geometry-optimized TaBiAs2Se structure.

Cell lengths 5.252, 5.252, 5.286 Å; angles 90.00, 90.00, 90.00 degrees
Space group P4/mmm (No. 123)
Inequivalent atoms, fractional coordinates:
Ta 0.000 0.000 0.000 x1
Bi 0.500 0.500 0.500 x1
As 0.000 0.500 0.500 x2
Se 0.500 0.500 0.000 x1

Output
Electronic total energy in eV per atom: -4.04
DOS at the Fermi energy in states/eV per atom: 1.3747

=====

The following is a DFT calculation (GGA-PBE) of a geometry-optimized Rb2TlBiSe4 structure.

Cell lengths 10.035, 9.621, 7.709 Å; angles 90.00, 126.31, 90.00 degrees
Space group C2 (No. 5)
Inequivalent atoms, fractional coordinates:
Rb 0.000 0.000 0.000 x2
Rb 0.000 0.274 0.500 x2
Tl 0.000 0.825 0.500 x2
Bi 0.000 0.534 0.000 x2
Se 0.170 0.706 0.907 x4
Se 0.238 0.985 0.545 x4

Output
Electronic total energy in eV per atom: -3.43

=====

The following is a DFT calculation (GGA-PBE) of a geometry-optimized Cr2PtW structure.

Cell lengths 3.260, 4.153, 8.281 Å; angles 90.00, 90.00, 90.00 degrees
Space group Cmmm (No. 65)
Inequivalent atoms, fractional coordinates:
Cr 0.000 0.000 0.247 x4
Pt 0.000 0.500 0.000 x2
W 0.000 0.500 0.500 x2

Output
Electronic total energy in eV per atom: -9.47
DOS at the Fermi energy in states/eV per atom: 0.9868

=====

The following is a DFT calculation (GGA-PBE) of a geometry-optimized KIn4Rh structure.

Cell lengths 8.828, 4.325, 8.018 Å; angles 90.00, 90.00, 90.00 degrees
Space group Pmma (No. 51)
Inequivalent atoms, fractional coordinates:
K 0.250 0.000 0.102 x2
In 0.000 0.000 0.500 x2
In 0.068 0.500 0.804 x4
In 0.250 0.500 0.439 x2
Rh 0.250 0.000 0.681 x2

Output
Electronic total energy in eV per atom: -3.45
DOS at the Fermi energy in states/eV per atom: 0.5315

=====

The following is a DFT calculation (GGA-PBE) of a geometry-optimized ErTiHgPd structure.

Cell lengths 6.884, 6.884, 6.884 Å; angles 90.00, 90.00, 90.00 degrees
Space group F-43m (No. 216)
Inequivalent atoms, fractional coordinates:
Er 0.000 0.000 0.000 x4
Ti 0.000 0.000 0.500 x4
Hg 0.250 0.250 0.750 x4
Pd 0.250 0.250 0.250 x4

Output
Electronic total energy in eV per atom: -4.83
DOS at the Fermi energy in states/eV per atom: 1.3901

=====

The following is a DFT calculation (GGA-PBE) of a geometry-optimized BaGaBiO4 structure.

Cell lengths 6.414, 5.983, 7.483 Å; angles 90.00, 114.22, 90.00 degrees
Space group P2_1/m (No. 11)
Inequivalent atoms, fractional coordinates:
Ba 0.211 0.250 0.467 x2
Ga 0.221 0.750 0.196 x2
Bi 0.301 0.250 0.025 x2
O 0.010 0.750 0.932 x2
O 0.033 0.750 0.328 x2
O 0.424 0.507 0.252 x4

Output
Electronic total energy in eV per atom: -5.99
DOS at the Fermi energy in states/eV per atom: 0.0000

=====

The following is a DFT calculation (GGA-PBE) of a geometry-optimized Y3AuS structure.

Cell lengths 5.120, 5.120, 5.120 Å; angles 90.00, 90.00, 90.00 degrees
Space group Pm-3m (No. 221)
Inequivalent atoms, fractional coordinates:
Y 0.000 0.000 0.500 x3
Au 0.500 0.500 0.500 x1
S 0.000 0.000 0.000 x1

Output
Electronic total energy in eV per atom: -6.15
DOS at the Fermi energy in states/eV per atom: 1.1208

=====

The following is a DFT calculation (GGA-PBE) of a geometry-optimized SrMgGa2Ir structure.

Cell lengths 4.862, 4.862, 5.002 Å; angles 90.00, 90.00, 90.00 degrees
Space group P4/mmm (No. 123)
Inequivalent atoms, fractional coordinates:
Sr 0.000 0.000 0.000 x1
Mg 0.500 0.500 0.000 x1
Ga 0.000 0.500 0.500 x2
Ir 0.500 0.500 0.500 x1

Output
Electronic total energy in eV per atom: -4.04
DOS at the Fermi energy in states/eV per atom: 0.7700

=====

The following is a DFT calculation (GGA-PBE) of a geometry-optimized Hf8Fe2Pt structure.

Cell lengths 16.636, 4.537, 6.084 Å; angles 90.00, 110.10, 90.00 degrees
Space group C2/m (No. 12)
Inequivalent atoms, fractional coordinates:
Hf 0.031 0.000 0.268 x4
Hf 0.095 0.500 0.982 x4
Hf 0.179 0.500 0.502 x4
Hf 0.202 0.000 0.846 x4
Fe 0.168 0.000 0.230 x4
Pt 0.000 0.500 0.500 x2

Output
Electronic total energy in eV per atom: -9.58
DOS at the Fermi energy in states/eV per atom: 0.8948